<1>
Below is a geometry-optimized KLa2Se2 structure, with properties calculated at the GGA-PBE level.

a b c (Å): 5.4046 5.4046 8.2999
angles (deg): 71.00 71.00 90.00
Last column: nearest neighbours and their distance in Å.
Atoms (fractional coordinates):
K: 0.0000 0.0000 0.0000  10 Se 4.52-4.95, 8 La 4.57
Se: 0.3357 0.3357 0.3286  4 La 2.98
Se: 0.6643 0.6643 0.6714  4 La 2.98
La: 0.7500 0.2500 0.5000  4 Se 2.98
La: 0.2500 0.7500 0.5000  4 Se 2.98

Values from the calculation:
Magnetization ... 0.0 μB per cell
Fermi-level density of states ... 5.083 states/eV/cell


<2>
Below is a geometry-optimized KLa2Se2 structure, with properties calculated at the GGA-PBE level.

a b c (Å): 8.4266 8.4266 4.0800
angles (deg): 90.00 90.00 90.00
Last column: nearest neighbours and their distance in Å.
Atoms (fractional coordinates):
K: 0.0000 0.0000 0.0000  4 Se 3.24
K: 0.5000 0.5000 0.0000  4 Se 3.24
Se: 0.3564 0.8564 0.0000  6 La 3.16-3.23, 2 K 3.24, 1 Se 3.42
Se: 0.8564 0.6436 0.0000  6 La 3.16-3.23, 2 K 3.24, 1 Se 3.42
Se: 0.6436 0.1436 0.0000  6 La 3.16-3.23, 2 K 3.24, 1 Se 3.42
Se: 0.1436 0.3564 0.0000  6 La 3.16-3.23, 2 K 3.24, 1 Se 3.42
La: 0.1539 0.6539 0.5000  6 Se 3.16-3.23
La: 0.6539 0.8461 0.5000  6 Se 3.16-3.23
La: 0.8461 0.3461 0.5000  6 Se 3.16-3.23
La: 0.3461 0.1539 0.5000  6 Se 3.16-3.23

Values from the calculation:
Magnetization ... 0.0 μB per cell
Fermi-level density of states ... 4.347 states/eV/cell


Verdict on stability: <1> comes out at the bottom.


<1>
Below is a geometry-optimized KLaSi2 structure, with properties calculated at the GGA-PBE level.

a b c (Å): 3.3721 3.3721 9.3279
angles (deg): 90.00 90.00 90.02
Last column: nearest neighbours and their distance in Å.
Atoms (fractional coordinates):
K: 0.5000 0.5000 0.2500  4 K 3.37, 8 Si 3.49
La: 0.5000 0.5000 0.7500  8 Si 3.19, 4 La 3.37
Si: 0.0000 0.0000 0.9766  4 La 3.19, 4 Si 3.37, 4 K 3.49
Si: 0.0000 0.0000 0.5234  4 La 3.19, 4 Si 3.37, 4 K 3.49

Values from the calculation:
Magnetization ... 0.0 μB per cell
Fermi-level density of states ... 2.340 states/eV/cell


<2>
Below is a geometry-optimized KLaSi2 structure, with properties calculated at the GGA-PBE level.

a b c (Å): 7.1294 7.1294 4.7643
angles (deg): 70.45 70.45 31.94
Last column: nearest neighbours and their distance in Å.
Atoms (fractional coordinates):
K: 0.5256 0.5256 0.4741  6 Si 3.42-3.76
La: 0.7642 0.7642 0.7358  6 Si 3.04-3.12
Si: 0.9112 0.9112 0.0888  2 Si 2.44
Si: 0.2989 0.2989 0.2013  2 Si 2.44

Values from the calculation:
Magnetization ... 0.0 μB per cell
Fermi-level density of states ... 0.474 states/eV/cell


<3>
Below is a geometry-optimized KLaSi2 structure, with properties calculated at the GGA-PBE level.

a b c (Å): 5.6268 5.6268 5.6268
angles (deg): 130.33 130.33 72.89
Last column: nearest neighbours and their distance in Å.
Atoms (fractional coordinates):
K: 0.2500 0.7500 0.5000  8 Si 3.27, 4 La 3.34
La: 0.7500 0.2500 0.5000  8 Si 3.27, 4 K 3.34
Si: 0.0000 0.0000 0.0000  4 La 3.27, 4 K 3.27, 4 Si 3.34
Si: 0.5000 0.5000 0.0000  4 La 3.27, 4 K 3.27, 4 Si 3.34

Values from the calculation:
Magnetization ... 0.0 μB per cell
Fermi-level density of states ... 1.463 states/eV/cell


Verdict on stability: <3> comes out at the bottom.


<1>
Below is a geometry-optimized K3LaSi structure, with properties calculated at the GGA-PBE level.

a b c (Å): 6.6314 6.6314 6.6314
angles (deg): 90.00 90.00 90.00
Last column: nearest neighbours and their distance in Å.
Atoms (fractional coordinates):
K: 0.0000 0.5000 0.0000  2 La 3.32
K: 0.0000 0.0000 0.5000  2 La 3.32
K: 0.5000 0.0000 0.0000  2 La 3.32
Si: 0.5000 0.5000 0.5000  12 K 4.69
La: 0.0000 0.0000 0.0000  6 K 3.32

Values from the calculation:
Magnetization ... 1.9 μB per cell
Fermi-level density of states ... 5.867 states/eV/cell


<2>
Below is a geometry-optimized K3LaSi structure, with properties calculated at the GGA-PBE level.

a b c (Å): 6.4346 6.4346 6.4346
angles (deg): 90.00 90.00 90.00
Last column: nearest neighbours and their distance in Å.
Atoms (fractional coordinates):
K: 0.0000 0.5000 0.0000  2 Si 3.22
K: 0.0000 0.0000 0.5000  2 Si 3.22
K: 0.5000 0.0000 0.0000  2 Si 3.22
Si: 0.0000 0.0000 0.0000  6 K 3.22
La: 0.5000 0.5000 0.5000  12 K 4.55

Values from the calculation:
Magnetization ... 0.1 μB per cell
Fermi-level density of states ... 33.971 states/eV/cell


Verdict on stability: <1> comes out at the bottom.


<1>
Below is a geometry-optimized KLaSi3 structure, with properties calculated at the GGA-PBE level.

a b c (Å): 5.6747 5.6747 5.6747
angles (deg): 90.00 90.00 90.00
Last column: nearest neighbours and their distance in Å.
Atoms (fractional coordinates):
K: 0.5000 0.5000 0.5000  12 Si 4.01
Si: 0.0000 0.5000 0.0000  2 La 2.84
Si: 0.0000 0.0000 0.5000  2 La 2.84
Si: 0.5000 0.0000 0.0000  2 La 2.84
La: 0.0000 0.0000 0.0000  6 Si 2.84

Values from the calculation:
Magnetization ... 0.0 μB per cell
Fermi-level density of states ... 4.413 states/eV/cell


<2>
Below is a geometry-optimized KLaSi3 structure, with properties calculated at the GGA-PBE level.

a b c (Å): 5.1731 5.1731 5.1731
angles (deg): 90.00 90.00 90.00
Last column: nearest neighbours and their distance in Å.
Atoms (fractional coordinates):
K: 0.0000 0.0000 0.0000  6 Si 2.59
Si: 0.0000 0.5000 0.0000  2 K 2.59
Si: 0.0000 0.0000 0.5000  2 K 2.59
Si: 0.5000 0.0000 0.0000  2 K 2.59
La: 0.5000 0.5000 0.5000  12 Si 3.66

Values from the calculation:
Magnetization ... 0.0 μB per cell
Fermi-level density of states ... 3.985 states/eV/cell


Verdict on stability: <2> comes out at the bottom.


<1>
Below is a geometry-optimized KLaSi structure, with properties calculated at the GGA-PBE level.

a b c (Å): 5.2883 5.2883 5.2883
angles (deg): 60.00 60.00 60.00
Last column: nearest neighbours and their distance in Å.
Atoms (fractional coordinates):
K: 0.0000 0.0000 0.0000  4 Si 3.24
La: 0.5000 0.5000 0.5000  4 Si 3.24
Si: 0.7500 0.7500 0.7500  4 La 3.24, 4 K 3.24

Values from the calculation:
Magnetization ... 0.0 μB per cell
Fermi-level density of states ... 0.696 states/eV/cell


<2>
Below is a geometry-optimized KLaSi structure, with properties calculated at the GGA-PBE level.

a b c (Å): 4.8454 4.8454 6.0477
angles (deg): 90.00 90.00 120.00
Last column: nearest neighbours and their distance in Å.
Atoms (fractional coordinates):
K: 0.0000 0.0000 0.9384  3 Si 3.44
La: 0.6667 0.3333 0.4554  3 Si 2.94
Si: 0.3333 0.6667 0.6063  3 La 2.94

Values from the calculation:
Magnetization ... 0.0 μB per cell
Fermi-level density of states ... 3.044 states/eV/cell


<3>
Below is a geometry-optimized KLaSi structure, with properties calculated at the GGA-PBE level.

a b c (Å): 7.9948 7.9948 7.9948
angles (deg): 149.56 153.53 40.77
Last column: nearest neighbours and their distance in Å.
Atoms (fractional coordinates):
K: 0.0335 0.0335 0.0000  1 La 3.58, 2 K 3.66, 4 Si 3.68
La: 0.2722 0.2722 0.0000  4 Si 3.02
Si: 0.6942 0.6942 0.0000  4 La 3.02

Values from the calculation:
Magnetization ... 0.0 μB per cell
Fermi-level density of states ... 3.106 states/eV/cell


Verdict on stability: <2> comes out at the bottom.


<1>
Below is a geometry-optimized KLa3Sn structure, with properties calculated at the GGA-PBE level.

a b c (Å): 6.2487 6.2487 6.2487
angles (deg): 90.00 90.00 90.00
Last column: nearest neighbours and their distance in Å.
Atoms (fractional coordinates):
K: 0.5000 0.5000 0.5000  12 La 4.42
Sn: 0.0000 0.0000 0.0000  6 La 3.12
La: 0.0000 0.5000 0.0000  2 Sn 3.12
La: 0.0000 0.0000 0.5000  2 Sn 3.12
La: 0.5000 0.0000 0.0000  2 Sn 3.12

Values from the calculation:
Magnetization ... 2.0 μB per cell
Fermi-level density of states ... 10.199 states/eV/cell


<2>
Below is a geometry-optimized KLa3Sn structure, with properties calculated at the GGA-PBE level.

a b c (Å): 5.4896 5.4896 5.4896
angles (deg): 90.00 90.00 90.00
Last column: nearest neighbours and their distance in Å.
Atoms (fractional coordinates):
K: 0.0000 0.0000 0.0000  6 La 2.74
Sn: 0.5000 0.5000 0.5000  12 La 3.88
La: 0.0000 0.5000 0.0000  2 K 2.74
La: 0.0000 0.0000 0.5000  2 K 2.74
La: 0.5000 0.0000 0.0000  2 K 2.74

Values from the calculation:
Magnetization ... 0.0 μB per cell
Fermi-level density of states ... 2.641 states/eV/cell


Verdict on stability: <2> comes out at the bottom.


<1>
Below is a geometry-optimized KLaSn3 structure, with properties calculated at the GGA-PBE level.

a b c (Å): 5.6409 5.6409 5.6409
angles (deg): 90.00 90.00 90.00
Last column: nearest neighbours and their distance in Å.
Atoms (fractional coordinates):
K: 0.0000 0.0000 0.0000  6 Sn 2.82
Sn: 0.0000 0.5000 0.0000  2 K 2.82
Sn: 0.0000 0.0000 0.5000  2 K 2.82
Sn: 0.5000 0.0000 0.0000  2 K 2.82
La: 0.5000 0.5000 0.5000  12 Sn 3.99

Values from the calculation:
Magnetization ... 0.0 μB per cell
Fermi-level density of states ... 4.849 states/eV/cell


<2>
Below is a geometry-optimized KLaSn3 structure, with properties calculated at the GGA-PBE level.

a b c (Å): 6.1157 6.1157 6.1157
angles (deg): 90.00 90.00 90.00
Last column: nearest neighbours and their distance in Å.
Atoms (fractional coordinates):
K: 0.5000 0.5000 0.5000  12 Sn 4.32
Sn: 0.0000 0.5000 0.0000  2 La 3.06
Sn: 0.0000 0.0000 0.5000  2 La 3.06
Sn: 0.5000 0.0000 0.0000  2 La 3.06
La: 0.0000 0.0000 0.0000  6 Sn 3.06

Values from the calculation:
Magnetization ... 0.0 μB per cell
Fermi-level density of states ... 3.291 states/eV/cell


Verdict on stability: <1> comes out at the bottom.


<1>
Below is a geometry-optimized KSr2La structure, with properties calculated at the GGA-PBE level.

a b c (Å): 7.4879 7.4879 7.4879
angles (deg): 135.45 135.45 64.83
Last column: nearest neighbours and their distance in Å.
Atoms (fractional coordinates):
K: 0.5000 0.5000 0.0000  8 Sr 4.01-4.25, 4 La 4.25
La: 0.7500 0.2500 0.5000  8 Sr 4.01-4.25, 4 K 4.25
Sr: 0.0000 0.0000 0.0000  4 K 4.01, 4 La 4.25, 4 Sr 4.25
Sr: 0.2500 0.7500 0.5000  4 La 4.01, 4 Sr 4.25, 4 K 4.25

Values from the calculation:
Magnetization ... 1.0 μB per cell
Fermi-level density of states ... 8.207 states/eV/cell


<2>
Below is a geometry-optimized KSr2La structure, with properties calculated at the GGA-PBE level.

a b c (Å): 3.9793 3.9793 13.0577
angles (deg): 90.00 90.00 90.00
Last column: nearest neighbours and their distance in Å.
Atoms (fractional coordinates):
K: 0.0000 0.0000 0.5119  4 K 3.98, 4 La 4.37
La: 0.5000 0.5000 0.7680  4 La 3.98, 4 Sr 4.02, 4 K 4.37
Sr: 0.0000 0.0000 0.9873  8 Sr 3.98-4.27, 4 La 4.02
Sr: 0.5000 0.5000 0.2328  8 Sr 3.98-4.27

Values from the calculation:
Magnetization ... 0.1 μB per cell
Fermi-level density of states ... 6.145 states/eV/cell


<3>
Below is a geometry-optimized KSr2La structure, with properties calculated at the GGA-PBE level.

a b c (Å): 4.0591 4.0591 12.7062
angles (deg): 90.00 90.00 90.00
Last column: nearest neighbours and their distance in Å.
Atoms (fractional coordinates):
K: 0.5000 0.5000 0.2500  4 K 4.06
La: 0.5000 0.5000 0.7500  8 Sr 3.99, 4 La 4.06
Sr: 0.0000 0.0000 0.9683  4 La 3.99, 4 Sr 4.06
Sr: 0.0000 0.0000 0.5317  4 La 3.99, 4 Sr 4.06

Values from the calculation:
Magnetization ... 0.0 μB per cell
Fermi-level density of states ... 6.308 states/eV/cell


Verdict on stability: <1> comes out at the bottom.